Entry 1:
Density functional theory data (PBE-GGA) for an optimized crystal structure of Mn2TcCl.

Symmetry   R3m
Total DFT energy (no corrections)   -29.410 eV per cell
Crystal system   trigonal

Cell lengths 8.195, 8.195, 8.195 Å; angles 20.27, 20.27, 20.27 degrees
Sites, in units of the cell vectors:
Mn (0.000, 0.000, 0.000)
Mn (0.250, 0.250, 0.250)
Tc (0.743, 0.743, 0.743)
Cl (0.508, 0.508, 0.508)



Entry 2:
Density functional theory data (PBE-GGA) for an optimized crystal structure of Y3GaS2.

Symmetry   Immm
Total DFT energy (no corrections)   -40.064 eV per cell
Crystal system   orthorhombic

Cell lengths 7.065, 7.065, 7.065 Å; angles 147.97, 132.56, 58.39 degrees
Sites, in units of the cell vectors:
Y (0.000, 0.000, 0.000)
Y (0.327, 0.327, 0.000)
Y (0.673, 0.673, 0.000)
Ga (0.500, 0.000, 0.500)
S (0.166, 0.666, 0.500)
S (0.834, 0.334, 0.500)



Entry 3:
Density functional theory data (PBE-GGA) for an optimized crystal structure of Tb2Pm4Er5.

Symmetry   C2/m
Energy relative to the elements   0.106 eV per atom
Crystal system   monoclinic

Cell lengths 9.969, 9.969, 6.589 Å; angles 91.03, 91.03, 32.91 degrees
Sites, in units of the cell vectors:
Tb (0.098, 0.098, 0.054)
Tb (0.902, 0.902, 0.946)
Pm (0.195, 0.195, 0.575)
Pm (0.479, 0.479, 0.215)
Pm (0.521, 0.521, 0.785)
Pm (0.805, 0.805, 0.425)
Er (0.000, 0.000, 0.500)
Er (0.291, 0.291, 0.099)
Er (0.370, 0.370, 0.610)
Er (0.630, 0.630, 0.390)
Er (0.709, 0.709, 0.901)



Entry 4:
Density functional theory data (PBE-GGA) for an optimized crystal structure of CoReTc4.

Symmetry   F-43m
Energy relative to the elements   0.430 eV per atom
Crystal system   cubic

Cell lengths 5.024, 5.024, 5.024 Å; angles 60.00, 60.00, 60.00 degrees
Sites, in units of the cell vectors:
Co (0.000, 0.000, 0.000)
Re (0.750, 0.750, 0.750)
Tc (0.374, 0.374, 0.374)
Tc (0.374, 0.374, 0.878)
Tc (0.374, 0.878, 0.374)
Tc (0.878, 0.374, 0.374)



Entry 5:
Density functional theory data (PBE-GGA) for an optimized crystal structure of NaSiB.

Symmetry   P4_122
Total DFT energy (no corrections)   -45.867 eV per cell
Crystal system   tetragonal

Cell lengths 4.509, 4.509, 12.001 Å; angles 90.00, 90.00, 90.00 degrees
Sites, in units of the cell vectors:
Na (0.000, 0.230, 0.000)
Na (0.000, 0.770, 0.500)
Na (0.230, 0.000, 0.750)
Na (0.770, 0.000, 0.250)
Si (0.300, 0.500, 0.250)
Si (0.500, 0.300, 0.500)
Si (0.500, 0.700, 0.000)
Si (0.700, 0.500, 0.750)
B (0.261, 0.261, 0.375)
B (0.261, 0.739, 0.125)
B (0.739, 0.261, 0.625)
B (0.739, 0.739, 0.875)



Entry 6:
Density functional theory data (PBE-GGA) for an optimized crystal structure of Ba2HS.

Symmetry   Fm-3m
Total DFT energy (no corrections)   -15.130 eV per cell
Crystal system   cubic

Cell lengths 5.281, 5.281, 5.281 Å; angles 60.00, 60.00, 60.00 degrees
Sites, in units of the cell vectors:
Ba (0.250, 0.250, 0.250)
Ba (0.750, 0.750, 0.750)
H (0.000, 0.000, 0.000)
S (0.500, 0.500, 0.500)



Entry 7:
Density functional theory data (PBE-GGA) for an optimized crystal structure of Cs2GaRhSe4.

Symmetry   Fddd
Total DFT energy (no corrections)   -64.051 eV per cell
Crystal system   orthorhombic

Cell lengths 13.942, 12.701, 7.627 Å; angles 82.55, 64.60, 32.85 degrees
Sites, in units of the cell vectors:
Cs (0.054, 0.054, 0.696)
Cs (0.304, 0.304, 0.946)
Cs (0.696, 0.696, 0.054)
Cs (0.946, 0.946, 0.304)
Ga (0.375, 0.375, 0.375)
Ga (0.625, 0.625, 0.625)
Rh (0.125, 0.125, 0.125)
Rh (0.875, 0.875, 0.875)
Se (0.013, 0.336, 0.405)
Se (0.255, 0.595, 0.664)
Se (0.336, 0.013, 0.745)
Se (0.405, 0.745, 0.013)
Se (0.595, 0.255, 0.987)
Se (0.664, 0.987, 0.255)
Se (0.745, 0.405, 0.336)
Se (0.987, 0.664, 0.595)



Entry 8:
Density functional theory data (PBE-GGA) for an optimized crystal structure of V2Ga2Br.

Symmetry   I4/mmm
Total DFT energy (no corrections)   -24.026 eV per cell
Crystal system   tetragonal

Cell lengths 8.534, 8.534, 8.534 Å; angles 156.89, 156.89, 32.92 degrees
Sites, in units of the cell vectors:
V (0.250, 0.750, 0.500)
V (0.750, 0.250, 0.500)
Ga (0.122, 0.122, 0.000)
Ga (0.878, 0.878, 0.000)
Br (0.500, 0.500, 0.000)



Entry 9:
Density functional theory data (PBE-GGA) for an optimized crystal structure of Mg2Sn2Hg.

Symmetry   P6_3/mmc
Energy relative to the elements   -0.051 eV per atom
Crystal system   hexagonal

Cell lengths 5.042, 5.042, 11.228 Å; angles 90.00, 90.00, 120.00 degrees
Sites, in units of the cell vectors:
Mg (0.000, 0.000, 0.000)
Mg (0.000, 0.000, 0.500)
Mg (0.333, 0.667, 0.250)
Mg (0.667, 0.333, 0.750)
Sn (0.333, 0.667, 0.594)
Sn (0.333, 0.667, 0.906)
Sn (0.667, 0.333, 0.094)
Sn (0.667, 0.333, 0.406)
Hg (0.000, 0.000, 0.250)
Hg (0.000, 0.000, 0.750)



Entry 10:
Density functional theory data (PBE-GGA) for an optimized crystal structure of CrHg2Ir.

Symmetry   R-3m
Energy relative to the elements   0.581 eV per atom
Crystal system   trigonal

Cell lengths 9.169, 9.169, 9.169 Å; angles 19.28, 19.28, 19.28 degrees
Sites, in units of the cell vectors:
Cr (0.000, 0.000, 0.000)
Hg (0.250, 0.250, 0.250)
Hg (0.750, 0.750, 0.750)
Ir (0.500, 0.500, 0.500)



| no. | total moment (Bohr magnetons per cell) |
| --- | --- |
| 1 | 4.54 |
| 2 | 0.00 |
| 3 | 0.00 |
| 4 | 1.61 |
| 5 | 0.00 |
| 6 | 0.00 |
| 7 | 0.00 |
| 8 | 0.00 |
| 9 | 0.00 |
| 10 | 3.67 |